a:
5
Lattice="4.559 0.000 0.000 0.000 4.559 0.000 0.000 0.000 3.742" Properties=species:S:1:pos:R:3 comment="RhSe2NF, optimized geometry, DFT PBE-GGA" density_g_cm3=6.3 sg="P4/mmm (123)" pbc="T T T"
N 0.000 0.000 1.871
Se 2.279 0.000 0.000
Se 0.000 2.279 0.000
F 0.000 0.000 0.000
Rh 2.279 2.279 1.871

b:
5
Lattice="5.133 0.000 0.000 0.000 5.133 0.000 0.000 0.000 3.596" Properties=species:S:1:pos:R:3 comment="RhSe2NF, optimized geometry, DFT PBE-GGA" density_g_cm3=5.1 sg="P4/mmm (123)" pbc="T T T"
F 2.566 2.566 1.798
Se 0.000 2.566 0.000
Se 2.566 0.000 0.000
N 0.000 0.000 1.798
Rh 0.000 0.000 0.000

Least stable of them? a.

a:
5
Lattice="-1.234 1.460 -3.420 3.219 -1.383 -1.752 -1.925 -3.479 -0.790" Properties=species:S:1:pos:R:3 comment="RhSeN2F, optimized geometry, DFT PBE-GGA" density_g_cm3=6.1 sg="P4/mmm (123)" pbc="T T T"
N 1.610 -0.692 -0.876
N -0.617 0.730 -1.710
Rh 0.030 -1.701 -2.981
F 0.000 0.000 0.000
Se -0.962 -1.739 -0.395

b:
5
Lattice="3.723 0.000 0.000 0.000 3.723 0.000 0.000 0.000 5.465" Properties=species:S:1:pos:R:3 comment="RhSeN2F, optimized geometry, DFT PBE-GGA" density_g_cm3=5.0 sg="P4/mmm (123)" pbc="T T T"
N 0.000 1.861 0.000
N 1.861 0.000 0.000
Rh 0.000 0.000 0.000
Se 0.000 0.000 2.732
F 1.861 1.861 2.732

c:
5
Lattice="-2.813 2.739 0.499 -2.252 -2.655 1.883 1.601 1.030 3.369" Properties=species:S:1:pos:R:3 comment="RhSeN2F, optimized geometry, DFT PBE-GGA" density_g_cm3=6.3 sg="P4/mmm (123)" pbc="T T T"
N -1.406 1.370 0.249
N -1.126 -1.328 0.941
Se 0.000 0.000 0.000
Rh -1.732 0.557 2.875
F 0.801 0.515 1.684

d:
5
Lattice="3.948 0.000 0.000 0.000 3.948 0.000 0.000 0.000 4.020" Properties=species:S:1:pos:R:3 comment="RhSeN2F, optimized geometry, DFT PBE-GGA" density_g_cm3=6.1 sg="P4/mmm (123)" pbc="T T T"
N 0.000 1.974 0.000
N 1.974 0.000 0.000
Se 1.974 1.974 2.010
F 0.000 0.000 2.010
Rh 0.000 0.000 0.000

Least stable of them? a.

a:
5
Lattice="4.247 0.000 0.000 0.000 4.247 0.000 0.000 0.000 4.031" Properties=species:S:1:pos:R:3 comment="SnRhNF2, optimized geometry, DFT PBE-GGA" density_g_cm3=6.3 sg="P4/mmm (123)" pbc="T T T"
N 0.000 0.000 2.015
Sn 0.000 0.000 0.000
Rh 2.123 2.123 2.015
F 2.123 0.000 0.000
F 0.000 2.123 0.000

b:
5
Lattice="-1.135 0.842 -4.316 1.990 -3.876 -1.280 -3.183 -1.795 0.487" Properties=species:S:1:pos:R:3 comment="SnRhNF2, optimized geometry, DFT PBE-GGA" density_g_cm3=6.0 sg="P4/mmm (123)" pbc="T T T"
F 0.995 -1.938 -0.640
F -0.568 0.421 -2.158
N -1.591 -0.898 0.243
Rh 0.000 0.000 0.000
Sn -1.164 -2.414 -2.555

Least stable of them? a.

a:
5
Lattice="3.756 0.000 0.000 0.000 3.756 0.000 0.000 0.000 6.608" Properties=species:S:1:pos:R:3 comment="TlRhN2F, optimized geometry, DFT PBE-GGA" density_g_cm3=6.3 sg="P4/mmm (123)" pbc="T T T"
N 1.878 0.000 0.000
N 0.000 1.878 0.000
Rh 0.000 0.000 0.000
Tl 1.878 1.878 3.304
F 0.000 0.000 3.304

b:
5
Lattice="4.292 0.000 0.000 0.000 4.292 0.000 0.000 0.000 4.330" Properties=species:S:1:pos:R:3 comment="TlRhN2F, optimized geometry, DFT PBE-GGA" density_g_cm3=7.4 sg="P4/mmm (123)" pbc="T T T"
N 0.000 2.146 0.000
N 2.146 0.000 0.000
Tl 0.000 0.000 0.000
Rh 2.146 2.146 2.165
F 0.000 0.000 2.165

Least stable of them? b.

a:
5
Lattice="3.685 0.000 0.000 0.000 3.685 0.000 0.000 0.000 4.967" Properties=species:S:1:pos:R:3 comment="ZnRhNF2, optimized geometry, DFT PBE-GGA" density_g_cm3=5.4 sg="P4/mmm (123)" pbc="T T T"
F 1.843 0.000 0.000
F 0.000 1.843 0.000
Zn 0.000 0.000 0.000
Rh 1.843 1.843 2.483
N 0.000 0.000 2.483

b:
5
Lattice="4.297 0.000 0.000 0.000 4.297 0.000 0.000 0.000 3.727" Properties=species:S:1:pos:R:3 comment="ZnRhNF2, optimized geometry, DFT PBE-GGA" density_g_cm3=5.3 sg="P4/mmm (123)" pbc="T T T"
Zn 2.148 2.148 1.863
N 0.000 0.000 1.863
Rh 0.000 0.000 0.000
F 2.148 0.000 0.000
F 0.000 2.148 0.000

Least stable of them? a.

a:
5
Lattice="-3.797 -0.303 -1.112 1.119 -0.051 -3.807 0.271 -3.871 0.131" Properties=species:S:1:pos:R:3 comment="ZrRhN2F, optimized geometry, DFT PBE-GGA" density_g_cm3=6.5 sg="P4/mmm (123)" pbc="T T T"
N 0.560 -0.025 -1.903
N -1.898 -0.152 -0.556
F 0.136 -1.936 0.066
Rh 0.000 0.000 0.000
Zr -1.203 -2.113 -2.394

b:
5
Lattice="4.263 0.000 0.000 0.000 4.263 0.000 0.000 0.000 4.044" Properties=species:S:1:pos:R:3 comment="ZrRhN2F, optimized geometry, DFT PBE-GGA" density_g_cm3=5.5 sg="P4/mmm (123)" pbc="T T T"
Zr 0.000 0.000 0.000
F 0.000 0.000 2.022
N 0.000 2.131 0.000
N 2.131 0.000 0.000
Rh 2.131 2.131 2.022

Least stable of them? a.

a:
5
Lattice="-3.656 2.003 0.732 -1.726 -1.927 -3.350 -1.138 -2.901 2.255" Properties=species:S:1:pos:R:3 comment="ZrRhNF2, optimized geometry, DFT PBE-GGA" density_g_cm3=5.9 sg="P4/mmm (123)" pbc="T T T"
Zr -3.260 -1.412 -0.182
N -0.569 -1.450 1.127
F -0.863 -0.963 -1.675
F -1.828 1.002 0.366
Rh 0.000 0.000 0.000

b:
5
Lattice="-2.074 -3.624 0.207 2.665 -1.683 -2.746 2.521 -1.259 3.219" Properties=species:S:1:pos:R:3 comment="ZrRhNF2, optimized geometry, DFT PBE-GGA" density_g_cm3=5.5 sg="P4/mmm (123)" pbc="T T T"
F -1.037 -1.812 0.104
F 1.333 -0.841 -1.373
Rh 1.556 -3.283 0.340
N 1.261 -0.630 1.609
Zr 0.000 0.000 0.000

Least stable of them? a.

a:
20
Lattice="5.255 0.000 -0.039 0.000 5.464 0.000 -0.852 0.000 10.847" Properties=species:S:1:pos:R:3 comment="RuNF3, optimized geometry, DFT PBE-GGA" density_g_cm3=3.7 sg="P2/c (13)" pbc="T T T"
F 3.417 2.328 7.694
F 1.857 1.483 0.754
F 4.237 3.845 5.099
F 1.431 3.980 6.178
F 0.560 2.328 8.537
F 2.546 3.980 10.053
F 3.811 1.619 10.523
F 3.843 3.136 2.270
F 0.592 3.845 0.285
F 2.972 1.483 4.630
F 0.986 3.136 3.114
F 0.166 1.619 5.708
Ru -0.149 3.232 6.885
Ru 4.126 3.232 9.346
Ru 0.277 2.232 1.462
Ru 4.552 2.232 3.922
N -0.091 4.831 8.380
N 4.068 4.831 7.851
N 4.494 0.633 2.428
N 0.335 0.633 2.956

b:
5
Lattice="-3.519 1.349 -1.352 -1.550 -0.361 3.674 1.116 3.753 0.840" Properties=species:S:1:pos:R:3 comment="RuNF3, optimized geometry, DFT PBE-GGA" density_g_cm3=4.5 sg="Pm-3m (221)" pbc="T T T"
Ru 0.000 0.000 0.000
F -1.760 0.674 -0.676
F -0.775 -0.181 1.837
F 0.558 1.876 0.420
N -1.977 2.370 1.581

Least stable of them? b.

a:
8
Lattice="7.534 0.000 0.000 0.000 7.534 0.000 3.767 3.767 1.829" Properties=species:S:1:pos:R:3 comment="RuNF2, optimized geometry, DFT PBE-GGA" density_g_cm3=4.9 sg="I-42d (122)" pbc="T T T"
Ru 7.534 3.767 0.915
Ru 0.000 0.000 0.000
F 6.734 1.883 0.457
F 9.417 2.967 1.372
F 5.650 4.567 1.372
F 8.334 5.650 0.457
N 3.767 7.534 0.915
N 3.767 3.767 0.000

b:
4
Lattice="0.000 2.797 2.797 2.797 0.000 2.797 2.797 2.797 0.000" Properties=species:S:1:pos:R:3 comment="RuNF2, optimized geometry, DFT PBE-GGA" density_g_cm3=5.8 sg="Fm-3m (225)" pbc="T T T"
F 4.195 4.195 4.195
F 1.398 1.398 1.398
Ru 2.797 2.797 2.797
N 0.000 0.000 0.000

Least stable of them? b.

a:
4
Lattice="0.000 2.599 2.599 2.599 0.000 2.599 2.599 2.599 0.000" Properties=species:S:1:pos:R:3 comment="RuN2F, optimized geometry, DFT PBE-GGA" density_g_cm3=7.0 sg="Fm-3m (225)" pbc="T T T"
F 0.000 0.000 0.000
Ru 2.599 2.599 2.599
N 1.299 1.299 1.299
N 3.898 3.898 3.898

b:
4
Lattice="1.794 0.000 5.469 -0.897 1.553 5.469 -0.897 -1.553 5.469" Properties=species:S:1:pos:R:3 comment="RuN2F, optimized geometry, DFT PBE-GGA" density_g_cm3=5.4 sg="R-3m (166)" pbc="T T T"
N 0.000 0.000 1.794
N 0.000 0.000 14.611
F 0.000 0.000 0.000
Ru 0.000 0.000 8.203

Least stable of them? a.

a:
5
Lattice="-0.387 4.227 -0.755 -2.247 0.447 3.652 3.172 0.625 1.875" Properties=species:S:1:pos:R:3 comment="ScRuNF2, optimized geometry, DFT PBE-GGA" density_g_cm3=4.7 sg="P4/mmm (123)" pbc="T T T"
Ru 0.000 0.000 0.000
F -0.193 2.113 -0.377
F -1.123 0.223 1.826
Sc 0.269 2.649 2.386
N 1.586 0.313 0.937

b:
5
Lattice="3.912 0.000 0.000 0.000 3.912 0.000 0.000 0.000 4.537" Properties=species:S:1:pos:R:3 comment="ScRuNF2, optimized geometry, DFT PBE-GGA" density_g_cm3=4.7 sg="P4/mmm (123)" pbc="T T T"
Ru 1.956 1.956 2.268
N 0.000 0.000 2.268
F 0.000 1.956 0.000
F 1.956 0.000 0.000
Sc 0.000 0.000 0.000

Least stable of them? a.

a:
5
Lattice="3.721 0.000 0.000 0.000 3.721 0.000 0.000 0.000 5.337" Properties=species:S:1:pos:R:3 comment="RuSeN2F, optimized geometry, DFT PBE-GGA" density_g_cm3=5.1 sg="P4/mmm (123)" pbc="T T T"
Se 0.000 0.000 2.668
N 0.000 1.860 0.000
N 1.860 0.000 0.000
F 1.860 1.860 2.668
Ru 0.000 0.000 0.000

b:
5
Lattice="3.883 0.000 0.000 0.000 3.883 0.000 0.000 0.000 4.021" Properties=species:S:1:pos:R:3 comment="RuSeN2F, optimized geometry, DFT PBE-GGA" density_g_cm3=6.2 sg="P4/mmm (123)" pbc="T T T"
F 0.000 0.000 0.000
N 0.000 1.942 0.000
N 1.942 0.000 0.000
Ru 1.942 1.942 2.011
Se 0.000 0.000 2.011

Least stable of them? b.

a:
5
Lattice="-3.135 2.890 0.250 -2.824 -2.957 -1.236 -0.587 -0.948 3.608" Properties=species:S:1:pos:R:3 comment="RuSeNF2, optimized geometry, DFT PBE-GGA" density_g_cm3=5.6 sg="P4/mmm (123)" pbc="T T T"
Se -3.273 -0.507 1.311
F -1.568 1.445 0.125
F -1.412 -1.478 -0.618
Ru 0.000 0.000 0.000
N -0.293 -0.474 1.804

b:
5
Lattice="-1.395 4.280 -0.484 -4.308 -1.385 0.168 0.009 0.417 3.663" Properties=species:S:1:pos:R:3 comment="RuSeNF2, optimized geometry, DFT PBE-GGA" density_g_cm3=5.1 sg="P4/mmm (123)" pbc="T T T"
F -2.154 -0.692 0.084
F -0.697 2.140 -0.242
Se 0.000 0.000 0.000
N 0.004 0.209 1.831
Ru -2.847 1.656 1.673

Least stable of them? b.